1.
B5C7: relaxed, GGA-PBE.

Values from the calculation:
ΔE to the lowest computed polymorph in meV/atom: 33
SG: Cm, No. 8

```
12
Lattice="4.269 -1.242 0.000 4.269 1.242 0.000 -4.156 0.000 7.177" Properties=species:S:1:pos:R:3 pbc="T T T"
B 0.000 0.000 0.000
B 3.351 0.000 2.372
B 4.804 0.000 1.180
B 5.191 0.000 2.761
B 6.603 0.000 1.380
C -3.351 0.000 5.810
C -1.033 0.000 4.751
C -1.835 0.000 6.134
C 0.512 0.000 5.012
C 1.304 0.000 3.700
C 2.826 0.000 3.943
C 2.809 0.000 6.942
```

2.
Ho3MgPd: relaxed, GGA-PBE.

Values from the calculation:
SG: Pmmn, No. 59

```
10
Lattice="4.954 0.000 0.000 0.000 8.105 0.000 0.000 0.000 6.568" Properties=species:S:1:pos:R:3 pbc="T T T"
Ho 1.238 0.384 1.330
Ho 1.238 2.026 4.766
Ho 1.238 3.668 1.330
Ho 3.715 4.437 5.238
Ho 3.715 6.079 1.802
Ho 3.715 7.721 5.238
Mg 1.238 6.079 3.836
Mg 3.715 2.026 2.732
Pd 1.238 6.079 6.528
Pd 3.715 2.026 0.040
```

3.
ZrScRe2: relaxed, GGA-PBE.

Values from the calculation:
SG: Immm, No. 71

```
4
Lattice="-1.622 2.371 4.519 1.622 -2.371 4.519 1.622 2.371 -4.519" Properties=species:S:1:pos:R:3 pbc="T T T"
Zr 0.000 0.000 0.000
Sc 0.000 0.000 4.519
Re 1.622 0.000 2.238
Re 0.000 2.371 2.281
```

4.
PmPr2Tm4: relaxed, GGA-PBE.

Values from the calculation:
ΔE to the lowest computed polymorph in meV/atom: 0
SG: I-42d, No. 122

```
14
Lattice="-4.887 4.887 4.891 4.887 -4.887 4.891 4.887 4.887 -4.891" Properties=species:S:1:pos:R:3 pbc="T T T"
Pm 0.000 0.000 0.000
Pm 0.000 4.887 2.445
Pr 2.444 3.660 -1.223
Pr 6.115 2.444 1.223
Pr 2.444 1.228 3.668
Pr -1.228 2.444 6.114
Tm 3.249 0.803 0.413
Tm 5.690 3.249 -2.033
Tm 4.084 -1.638 4.478
Tm -0.803 1.638 2.858
Tm 0.803 6.525 -0.413
Tm 3.249 4.084 2.033
Tm 1.638 0.803 6.924
Tm 1.638 4.084 5.304
```

5.
SmDy2Be: relaxed, GGA-PBE.

Values from the calculation:
ΔE to the lowest computed polymorph in meV/atom: 629
SG: R-3m, No. 166

```
4
Lattice="1.729 0.998 11.430 -1.729 0.998 11.430 0.000 -1.997 11.430" Properties=species:S:1:pos:R:3 pbc="T T T"
Sm 0.000 0.000 0.000
Dy 0.000 0.000 14.272
Dy 0.000 0.000 20.018
Be 0.000 0.000 17.145
```

6.
Ac5Si2O: relaxed, GGA-PBE.

Values from the calculation:
SG: Cmcm, No. 63
E_form (uncorrected) in eV/atom: -0.733

```
16
Lattice="3.088 -6.427 0.000 3.088 6.427 0.000 0.000 0.000 13.988" Properties=species:S:1:pos:R:3 pbc="T T T"
Ac 3.088 5.693 8.715
Ac 3.088 5.693 12.267
Ac 3.088 2.521 3.497
Ac 3.088 2.000 8.359
Ac 3.088 2.000 12.623
Ac 3.088 -2.000 1.365
Ac 3.088 -2.000 5.629
Ac 3.088 -2.521 10.491
Ac 3.088 -5.693 1.721
Ac 3.088 -5.693 5.273
Si 3.088 4.144 0.974
Si 3.088 4.144 6.021
Si 3.088 -4.144 7.968
Si 3.088 -4.144 13.015
O 3.088 3.684 10.491
O 3.088 -3.684 3.497
```

7.
HgH: relaxed, GGA-PBE.

Values from the calculation:
ΔE to the lowest computed polymorph in meV/atom: 342
SG: I4/m, No. 87

```
8
Lattice="-5.272 5.272 1.592 5.272 -5.272 1.592 5.272 5.272 -1.592" Properties=species:S:1:pos:R:3 pbc="T T T"
Hg 8.340 1.496 0.000
Hg 1.496 2.203 0.000
Hg 3.776 3.068 1.592
Hg -3.068 3.776 1.592
H 2.178 0.261 0.000
H 5.011 -3.094 1.592
H 0.261 8.366 0.000
H 3.094 5.011 1.592
```

8.
InPH2: relaxed, GGA-PBE.

Values from the calculation:
ΔE to the lowest computed polymorph in meV/atom: 446
SG: Fm-3m, No. 225

```
4
Lattice="0.000 2.833 2.833 2.833 0.000 2.833 2.833 2.833 0.000" Properties=species:S:1:pos:R:3 pbc="T T T"
In 0.000 0.000 0.000
P 2.833 2.833 2.833
H 1.417 1.417 1.417
H 4.250 4.250 4.250
```

DOS(E_F) in states/eV per cell, matching the order above: 0.90, 9.87, 4.24, 25.93, 4.71, 13.72, 1.95, 1.06
Total magnetic moment in μB per formula unit, matching the order above: 0.00, 0.00, 0.00, 0.00, 0.00, 0.00, 0.00, 0.00
E_tot in eV/atom, matching the order above: -7.872, -4.425, -9.929, -4.340, -3.713, -5.276, -1.463, -2.920